Entry 1:
Computed, not measured: BePtCl2 after structural relaxation at the PBE-GGA level of DFT.

Properties
For the total magnetic moment, the calculation gives 0.0 μB per formula unit. For the raw formation energy, the calculation gives 635 meV/atom. The relative energy among the computed polymorphs is 1.0706 eV per atom.

a = 4.503 Å, b = 4.503 Å, c = 4.503 Å
α = 60.00°, β = 60.00°, γ = 60.00°
Fractional positions:
1 Cl 0.750 0.750 0.750
2 Cl 0.250 0.250 0.250
3 Pt 0.500 0.500 0.500
4 Be 0.000 0.000 0.000

---

Entry 2:
Computed, not measured: ScRh2W after structural relaxation at the PBE-GGA level of DFT.

Properties
For the total magnetic moment, the calculation gives 0.0 μB per formula unit. The relative energy among the computed polymorphs is 0.2950 eV per atom.

a = 8.988 Å, b = 8.988 Å, c = 8.988 Å
α = 18.50°, β = 18.50°, γ = 18.50°
Fractional positions:
1 W 0.750 0.750 0.750
2 Rh 0.499 0.499 0.499
3 Rh 0.001 0.001 0.001
4 Sc 0.250 0.250 0.250

---

Entry 3:
Computed, not measured: Zn2PHPt6 after structural relaxation at the PBE-GGA level of DFT.

Properties
The value obtained for the energy is -5.04 eV per atom. For the total magnetic moment, the calculation gives 0.0 μB per formula unit.

a = 5.572 Å, b = 5.529 Å, c = 5.260 Å
α = 108.26°, β = 104.63°, γ = 90.19°
Fractional positions:
1 Pt 0.646 0.183 0.890
2 Pt 0.667 0.710 0.945
3 Pt 0.802 0.758 0.506
4 H 0.206 0.047 0.189
5 Pt 0.311 0.350 0.480
6 Zn 0.282 0.844 0.535
7 P 0.472 0.496 0.175
8 Pt 0.159 0.713 0.972
9 Zn 0.826 0.207 0.417
10 Pt 0.126 0.195 0.889

---

Entry 4:
Computed, not measured: YHg2Br after structural relaxation at the PBE-GGA level of DFT.

Properties
For the total magnetic moment, the calculation gives 0.0 μB per formula unit. For the raw formation energy, the calculation gives -535 meV/atom. The relative energy among the computed polymorphs is 0.0571 eV per atom.

a = 7.001 Å, b = 7.001 Å, c = 7.001 Å
α = 150.79°, β = 138.90°, γ = 51.22°
Fractional positions:
1 Br 0.250 0.750 0.500
2 Hg 0.961 0.961 0.000
3 Hg 0.539 0.539 0.000
4 Y 0.750 0.250 0.500

---

Entry 5:
Computed, not measured: TbPaBi after structural relaxation at the PBE-GGA level of DFT.

Properties
For the total magnetic moment, the calculation gives 1.7 μB per formula unit. The relative energy among the computed polymorphs is 0.3350 eV per atom.

a = 3.400 Å, b = 5.463 Å, c = 5.463 Å
α = 120.00°, β = 90.00°, γ = 90.00°
Each line ends with the local moment (μB).
Fractional positions:
1 Tb 0.582 0.667 0.333  0.25
2 Bi 0.363 0.333 0.667  0.00
3 Pa 0.055 0.000 0.000  1.09

---

Entry 6:
Computed, not measured: ScTaB2 after structural relaxation at the PBE-GGA level of DFT.

Properties
For the total magnetic moment, the calculation gives 0.0 μB per formula unit. The relative energy among the computed polymorphs is 0.8812 eV per atom.

a = 4.130 Å, b = 4.130 Å, c = 4.130 Å
α = 60.00°, β = 60.00°, γ = 60.00°
Fractional positions:
1 B 0.250 0.250 0.250
2 B 0.750 0.750 0.750
3 Sc 0.000 0.000 0.000
4 Ta 0.500 0.500 0.500

---

Entry 7:
Computed, not measured: CuPb2SF after structural relaxation at the PBE-GGA level of DFT.

Properties
For the total magnetic moment, the calculation gives 0.0 μB per formula unit. For the raw formation energy, the calculation gives -1 meV/atom.

a = 4.831 Å, b = 5.052 Å, c = 4.831 Å
α = 90.00°, β = 90.00°, γ = 90.00°
Fractional positions:
1 F 0.000 0.000 0.000
2 Pb 0.500 0.000 0.000
3 Pb 0.000 0.000 0.500
4 Cu 0.500 0.500 0.500
5 S 0.000 0.500 0.000

---

Entry 8:
Computed, not measured: Ge2Ru after structural relaxation at the PBE-GGA level of DFT.

Properties
The value obtained for the energy is -6.16 eV per atom. For the total magnetic moment, the calculation gives 0.4 μB per formula unit.

a = 3.326 Å, b = 3.326 Å, c = 4.803 Å
α = 110.32°, β = 110.32°, γ = 89.93°
Each line ends with the local moment (μB).
Fractional positions:
1 Ru 0.500 0.500 0.000  0.39
2 Ge 0.160 0.160 0.320  0.00
3 Ge 0.840 0.840 0.680  0.00